# 1
ScAl3P: relaxed, PBE-GGA.

The structure belongs to space group Pm-3m (No. 221); the cell edges are 5.2300, 5.2300 and 5.2300 Å and the angles 90.00°, 90.00° and 90.00°. The asymmetric unit holds Sc at (0.0000, 0.0000, 0.0000), Al at (0.0000, 0.0000, 0.5000) and P at (0.5000, 0.5000, 0.5000).

The formation energy from the elements comes out at 1288 meV/atom. The density is 1.82 g cm⁻³.

---

# 2
Sc2AlP: relaxed, PBE-GGA.

The structure belongs to space group Amm2 (No. 38); the cell edges are 3.6897, 3.9758 and 10.0632 Å and the angles 90.00°, 90.00° and 90.00°. The asymmetric unit holds Sc at (0.0000, 0.0000, 0.0000), Sc at (0.5000, 0.0000, 0.2851), Al at (0.0000, 0.0000, 0.7217) and P at (0.5000, 0.0000, 0.5573).

The formation energy from the elements comes out at -870 meV/atom. The density is 3.33 g cm⁻³.

---

# 3
ScAl2P: relaxed, PBE-GGA.

The structure belongs to space group R-3m (No. 166, hexagonal axes); the cell edges are 3.4708, 3.4708 and 22.6173 Å and the angles 90.00°, 90.00° and 120.00°. The asymmetric unit holds Sc at (0.0000, 0.0000, 0.0000), Al at (0.0000, 0.0000, 0.2315) and P at (0.0000, 0.0000, 0.5000).

The formation energy from the elements comes out at -140 meV/atom. The density is 2.74 g cm⁻³.

---

# 4
Sc2AlP: relaxed, PBE-GGA.

The structure belongs to space group P4/mmm (No. 123); the cell edges are 3.4335, 3.4335 and 6.1439 Å and the angles 90.00°, 90.00° and 90.00°. The asymmetric unit holds Sc at (0.0000, 0.0000, 0.2288), Al at (0.5000, 0.5000, 0.5000) and P at (0.5000, 0.5000, 0.0000).

The formation energy from the elements comes out at -702 meV/atom. The density is 3.39 g cm⁻³.